Record 1
Density functional theory data (PBE) for a relaxed structure of RbNbSO.

Calculated values
ρ in g cm⁻³: 5.4
SG: P4/nmm, No. 129

abc: 3.854 3.854 9.438
angles: 90.00 90.00 90.00
Atoms (fractional coordinates):
Nb 0.250 0.250 0.113
Nb 0.750 0.750 0.888
O 0.750 0.250 0.000
O 0.250 0.750 0.000
Rb 0.750 0.250 0.500
Rb 0.250 0.750 0.500
S 0.750 0.750 0.240
S 0.250 0.250 0.760

Record 2
Density functional theory data (PBE) for a relaxed structure of RbNbSO.

Calculated values
ρ in g cm⁻³: 3.9
SG: Pca2_1, No. 29

abc: 7.601 8.799 5.741
angles: 90.00 90.00 90.00
Atoms (fractional coordinates):
Nb 0.847 0.353 0.035
Nb 0.347 0.647 0.035
Nb 0.653 0.353 0.535
Nb 0.153 0.647 0.535
O 0.940 0.158 0.037
O 0.440 0.842 0.037
O 0.560 0.158 0.537
O 0.060 0.842 0.537
Rb 0.394 0.149 0.019
Rb 0.894 0.851 0.019
Rb 0.106 0.149 0.519
Rb 0.606 0.851 0.519
S 0.572 0.465 0.158
S 0.072 0.535 0.158
S 0.928 0.465 0.658
S 0.428 0.535 0.658

Record 3
Density functional theory data (PBE) for a relaxed structure of RbNbSO.

Calculated values
ρ in g cm⁻³: 3.8
SG: P2_1, No. 4

abc: 5.029 5.746 13.669
angles: 90.00 89.94 90.00
Atoms (fractional coordinates):
Nb 0.435 0.813 0.065
Nb 0.934 0.316 0.065
Nb 0.066 0.816 0.935
Nb 0.565 0.313 0.935
O 0.750 0.022 0.001
O 0.250 0.108 0.001
O 0.750 0.608 0.999
O 0.250 0.522 0.999
Rb 0.639 0.661 0.330
Rb 0.142 0.160 0.331
Rb 0.858 0.660 0.669
Rb 0.361 0.161 0.670
S 0.130 0.660 0.194
S 0.634 0.160 0.195
S 0.366 0.660 0.805
S 0.870 0.160 0.806

Record 4
Density functional theory data (PBE) for a relaxed structure of RbNbSO.

Calculated values
ρ in g cm⁻³: 3.6
SG: Pmc2_1, No. 26

abc: 4.114 7.742 6.524
angles: 90.00 90.00 90.00
Atoms (fractional coordinates):
Nb 0.500 0.905 0.039
Nb 0.500 0.095 0.539
O 0.500 0.099 0.236
O 0.500 0.901 0.736
Rb 0.000 0.325 0.104
Rb 0.000 0.675 0.604
S 0.000 0.751 0.112
S 0.000 0.249 0.612

no.,excess energy over the best structure of this formula in the dataset (meV/atom)
1,815
2,95
3,172
4,131